(1)
Below is a relaxed SmTmSn2 crystal, with properties calculated at the PBE level. Values from VASP.

Results
The value obtained for the density of states at the Fermi level is 0.6891 states/eV/atom. For the formation energy, the calculation gives -274 kJ/mol of formula units. As for the crystal system: orthorhombic. The calculation puts the calculated total energy at -0.36823 Ry/atom.

Cell and atoms, written as Quantum ESPRESSO input:
```
&SYSTEM
  ibrav = 0, nat = 4, ntyp = 3
/
ATOMIC_SPECIES
Sm 150.36 Sm.upf
Tm 168.93 Tm.upf
Sn 118.71 Sn.upf
CELL_PARAMETERS angstrom
4.321 0.000 0.000
0.000 2.258 5.730
0.000 -2.258 5.730
ATOMIC_POSITIONS crystal
Sm 0.000 0.000 0.000
Tm 0.500 0.268 0.268
Sn 0.000 0.728 0.728
Sn 0.500 0.541 0.541
```

---

(2)
Below is a relaxed SmTm4Sn4 crystal, with properties calculated at the PBE level. Values from VASP.

Results
The value obtained for the density of states at the Fermi level is 0.9348 states/eV/atom. For the formation energy, the calculation gives -336 kJ/mol of formula units. As for the crystal system: tetragonal. The calculation puts the calculated total energy at -0.34383 Ry/atom.

Cell and atoms, written as Quantum ESPRESSO input:
```
&SYSTEM
  ibrav = 0, nat = 18, ntyp = 3
/
ATOMIC_SPECIES
Sm 150.36 Sm.upf
Tm 168.93 Tm.upf
Sn 118.71 Sn.upf
CELL_PARAMETERS angstrom
9.779 0.000 0.000
0.000 9.779 0.000
0.000 0.000 6.056
ATOMIC_POSITIONS crystal
Sm 0.250 0.250 0.250
Sm 0.750 0.750 0.750
Tm 0.098 0.647 0.143
Tm 0.147 0.902 0.643
Tm 0.353 0.598 0.643
Tm 0.402 0.853 0.143
Tm 0.598 0.147 0.857
Tm 0.647 0.402 0.357
Tm 0.853 0.098 0.357
Tm 0.902 0.353 0.857
Sn 0.037 0.611 0.654
Sn 0.111 0.963 0.154
Sn 0.389 0.537 0.154
Sn 0.463 0.889 0.654
Sn 0.537 0.111 0.346
Sn 0.611 0.463 0.846
Sn 0.889 0.037 0.846
Sn 0.963 0.389 0.346
```

---

(3)
Below is a relaxed Sm2TmSn crystal, with properties calculated at the PBE level. Values from VASP.

Results
The value obtained for the density of states at the Fermi level is 1.0068 states/eV/atom. For the formation energy, the calculation gives 18 kJ/mol of formula units. The value obtained for the offset from the most stable computed form is 45.1 kJ per mole of atoms. As for the crystal system: trigonal. The calculation puts the calculated total energy at -0.32578 Ry/atom.

Cell and atoms, written as Quantum ESPRESSO input:
```
&SYSTEM
  ibrav = 0, nat = 4, ntyp = 3
/
ATOMIC_SPECIES
Sm 150.36 Sm.upf
Tm 168.93 Tm.upf
Sn 118.71 Sn.upf
CELL_PARAMETERS angstrom
1.766 1.020 12.055
-1.766 1.020 12.055
0.000 -2.039 12.055
ATOMIC_POSITIONS crystal
Sm 0.088 0.088 0.088
Sm 0.912 0.912 0.912
Tm 0.500 0.500 0.500
Sn 0.000 0.000 0.000
```

---

(4)
Below is a relaxed SmTmSn crystal, with properties calculated at the PBE level. Values from VASP.

Results
The value obtained for the density of states at the Fermi level is 0.4721 states/eV/atom. For the formation energy, the calculation gives -105 kJ/mol of formula units. The value obtained for the offset from the most stable computed form is 23.4 kJ per mole of atoms. As for the crystal system: trigonal. The calculation puts the calculated total energy at -0.34999 Ry/atom.

Cell and atoms, written as Quantum ESPRESSO input:
```
&SYSTEM
  ibrav = 0, nat = 3, ntyp = 3
/
ATOMIC_SPECIES
Sm 150.36 Sm.upf
Tm 168.93 Tm.upf
Sn 118.71 Sn.upf
CELL_PARAMETERS angstrom
5.103 0.000 0.000
-2.552 4.420 0.000
0.000 0.000 3.909
ATOMIC_POSITIONS crystal
Sm 0.000 0.000 0.000
Tm 0.667 0.333 0.451
Sn 0.333 0.667 0.639
```

---

(5)
Below is a relaxed Sm2Tm2Sn crystal, with properties calculated at the PBE level. Values from VASP.

Results
The value obtained for the density of states at the Fermi level is 0.8696 states/eV/atom. For the formation energy, the calculation gives -103 kJ/mol of formula units. As for the crystal system: monoclinic. The calculation puts the calculated total energy at -0.34475 Ry/atom.

Cell and atoms, written as Quantum ESPRESSO input:
```
&SYSTEM
  ibrav = 0, nat = 10, ntyp = 3
/
ATOMIC_SPECIES
Sm 150.36 Sm.upf
Tm 168.93 Tm.upf
Sn 118.71 Sn.upf
CELL_PARAMETERS angstrom
4.109 -4.993 0.000
4.109 4.993 0.000
-3.909 0.000 7.500
ATOMIC_POSITIONS crystal
Sm 0.132 0.768 0.782
Sm 0.232 0.868 0.218
Sm 0.768 0.132 0.782
Sm 0.868 0.232 0.218
Tm 0.222 0.222 0.618
Tm 0.348 0.348 0.093
Tm 0.652 0.652 0.907
Tm 0.778 0.778 0.382
Sn 0.341 0.659 0.500
Sn 0.659 0.341 0.500
```

---

(6)
Below is a relaxed SmTmSn2 crystal, with properties calculated at the PBE level. Values from VASP.

Results
The value obtained for the density of states at the Fermi level is 0.8755 states/eV/atom. For the formation energy, the calculation gives -239 kJ/mol of formula units. As for the crystal system: tetragonal. The calculation puts the calculated total energy at -0.36154 Ry/atom.

Cell and atoms, written as Quantum ESPRESSO input:
```
&SYSTEM
  ibrav = 0, nat = 4, ntyp = 3
/
ATOMIC_SPECIES
Sm 150.36 Sm.upf
Tm 168.93 Tm.upf
Sn 118.71 Sn.upf
CELL_PARAMETERS angstrom
3.477 0.000 0.000
0.000 3.477 0.000
0.000 0.000 8.846
ATOMIC_POSITIONS crystal
Sm 0.000 0.000 0.000
Tm 0.000 0.000 0.500
Sn 0.500 0.500 0.258
Sn 0.500 0.500 0.742
```

---

(7)
Below is a relaxed SmUSn2 crystal, with properties calculated at the PBE level. Values from VASP.

Results
The value obtained for the density of states at the Fermi level is 1.9220 states/eV/atom. For the formation energy, the calculation gives -113 kJ/mol of formula units. As for the crystal system: tetragonal. The calculation puts the calculated total energy at -0.46277 Ry/atom.

Cell and atoms, written as Quantum ESPRESSO input:
```
&SYSTEM
  ibrav = 0, nat = 4, ntyp = 3
/
ATOMIC_SPECIES
Sm 150.36 Sm.upf
U 238.03 U.upf
Sn 118.71 Sn.upf
CELL_PARAMETERS angstrom
3.402 0.000 0.000
0.000 3.402 0.000
0.000 0.000 9.135
ATOMIC_POSITIONS crystal
Sm 0.000 0.000 0.000
U 0.000 0.000 0.500
Sn 0.500 0.500 0.253
Sn 0.500 0.500 0.747
```

---

(8)
Below is a relaxed Sm3USn12 crystal, with properties calculated at the PBE level. Values from VASP.

Results
The value obtained for the density of states at the Fermi level is 0.8060 states/eV/atom. For the formation energy, the calculation gives -607 kJ/mol of formula units. As for the crystal system: tetragonal. The calculation puts the calculated total energy at -0.36645 Ry/atom.

Cell and atoms, written as Quantum ESPRESSO input:
```
&SYSTEM
  ibrav = 0, nat = 16, ntyp = 3
/
ATOMIC_SPECIES
Sm 150.36 Sm.upf
U 238.03 U.upf
Sn 118.71 Sn.upf
CELL_PARAMETERS angstrom
4.726 0.000 0.000
0.000 4.726 0.000
0.000 0.000 18.782
ATOMIC_POSITIONS crystal
Sm 0.000 0.000 0.000
Sm 0.000 0.000 0.256
Sm 0.000 0.000 0.744
U 0.000 0.000 0.500
Sn 0.000 0.500 0.127
Sn 0.000 0.500 0.380
Sn 0.000 0.500 0.620
Sn 0.000 0.500 0.873
Sn 0.500 0.000 0.127
Sn 0.500 0.000 0.380
Sn 0.500 0.000 0.620
Sn 0.500 0.000 0.873
Sn 0.500 0.500 0.000
Sn 0.500 0.500 0.252
Sn 0.500 0.500 0.500
Sn 0.500 0.500 0.748
```

---

(9)
Below is a relaxed SmU2Sn9 crystal, with properties calculated at the PBE level. Values from VASP.

Results
The value obtained for the density of states at the Fermi level is 1.4864 states/eV/atom. For the formation energy, the calculation gives -282 kJ/mol of formula units. As for the crystal system: tetragonal. The calculation puts the calculated total energy at -0.40576 Ry/atom.

Cell and atoms, written as Quantum ESPRESSO input:
```
&SYSTEM
  ibrav = 0, nat = 12, ntyp = 3
/
ATOMIC_SPECIES
Sm 150.36 Sm.upf
U 238.03 U.upf
Sn 118.71 Sn.upf
CELL_PARAMETERS angstrom
4.658 0.000 0.000
0.000 4.658 0.000
0.000 0.000 14.062
ATOMIC_POSITIONS crystal
Sm 0.000 0.000 0.000
U 0.000 0.000 0.338
U 0.000 0.000 0.662
Sn 0.000 0.500 0.172
Sn 0.000 0.500 0.500
Sn 0.000 0.500 0.828
Sn 0.500 0.000 0.172
Sn 0.500 0.000 0.500
Sn 0.500 0.000 0.828
Sn 0.500 0.500 0.000
Sn 0.500 0.500 0.335
Sn 0.500 0.500 0.665
```

---

(10)
Below is a relaxed SmVSn crystal, with properties calculated at the PBE level. Values from VASP.

Results
The value obtained for the density of states at the Fermi level is 0.8645 states/eV/atom. For the formation energy, the calculation gives -72 kJ/mol of formula units. As for the crystal system: hexagonal. The calculation puts the calculated total energy at -0.45545 Ry/atom.

Cell and atoms, written as Quantum ESPRESSO input:
```
&SYSTEM
  ibrav = 0, nat = 9, ntyp = 3
/
ATOMIC_SPECIES
Sm 150.36 Sm.upf
V 50.94 V.upf
Sn 118.71 Sn.upf
CELL_PARAMETERS angstrom
7.168 0.000 0.000
-3.584 6.208 0.000
0.000 0.000 4.790
ATOMIC_POSITIONS crystal
Sm 0.000 0.565 0.000
Sm 0.435 0.435 0.000
Sm 0.565 0.000 0.000
V 0.000 0.193 0.500
V 0.193 0.000 0.500
V 0.807 0.807 0.500
Sn 0.000 0.000 0.000
Sn 0.333 0.667 0.500
Sn 0.667 0.333 0.500
```

---

Question: Which formula does entry 2 have?
Answer: SmTm4Sn4